1.
Computed, not measured: crystalline NiOsRu at its relaxed geometry at the PBE level of DFT.

Lattice parameters (Å, degrees): 4.2917 7.9923 4.5751 90.00 90.00 90.00
Sites, in units of the cell vectors:
1 Ni 0.0000 0.0000 0.0000
2 Ni 0.0000 0.5000 0.5000
3 Ni 0.5000 0.0000 0.3349
4 Ni 0.5000 0.5000 0.8349
5 Os 0.0000 0.1619 0.4925
6 Os 0.0000 0.3381 0.9925
7 Os 0.0000 0.6619 0.9925
8 Os 0.0000 0.8381 0.4925
9 Ru 0.5000 0.1617 0.8409
10 Ru 0.5000 0.3383 0.3409
11 Ru 0.5000 0.6617 0.3409
12 Ru 0.5000 0.8383 0.8409

Results
- Energy relative to the elements: 0.046 eV per atom
- Symmetry: Amm2 (38)
- Volume: 156.9 Å³/cell
- Distance to the lowest polymorph of the same formula: 0.002 eV per atom
- Density of states at the Fermi level: 13.02 states/eV per cell



2.
Computed, not measured: crystalline NiOsRu at its relaxed geometry at the PBE level of DFT.

Lattice parameters (Å, degrees): 2.6984 3.7532 7.8579 90.00 90.04 90.00
Sites, in units of the cell vectors:
1 Ni 0.2486 0.2500 0.0764
2 Ni 0.7514 0.7500 0.9236
3 Os 0.2496 0.2500 0.4086
4 Os 0.7504 0.7500 0.5914
5 Ru 0.2520 0.2500 0.7554
6 Ru 0.7480 0.7500 0.2446

Results
- Energy relative to the elements: 0.121 eV per atom
- Symmetry: P2_1/m (11)
- Volume: 79.6 Å³/cell
- Distance to the lowest polymorph of the same formula: 0.076 eV per atom
- Density of states at the Fermi level: 5.69 states/eV per cell



3.
Computed, not measured: crystalline NiOs2Ru at its relaxed geometry at the PBE level of DFT.

Lattice parameters (Å, degrees): 2.7027 2.7027 25.8370 90.00 90.00 120.00
Sites, in units of the cell vectors:
1 Ni 0.0000 0.0000 0.0000
2 Ni 0.3333 0.6667 0.6667
3 Ni 0.6667 0.3333 0.3333
4 Os 0.0000 0.0000 0.2509
5 Os 0.0000 0.0000 0.7491
6 Os 0.3333 0.6667 0.4158
7 Os 0.3333 0.6667 0.9175
8 Os 0.6667 0.3333 0.0825
9 Os 0.6667 0.3333 0.5842
10 Ru 0.0000 0.0000 0.5000
11 Ru 0.3333 0.6667 0.1667
12 Ru 0.6667 0.3333 0.8333

Results
- Energy relative to the elements: 0.167 eV per atom
- Symmetry: R-3m (166)
- Volume: 163.4 Å³/cell
- Distance to the lowest polymorph of the same formula: 0.030 eV per atom
- Density of states at the Fermi level: 12.74 states/eV per cell



4.
Computed, not measured: crystalline Ni2OsRu at its relaxed geometry at the PBE level of DFT.

Lattice parameters (Å, degrees): 2.6745 3.6764 5.1431 90.00 90.00 90.00
Sites, in units of the cell vectors:
1 Ni 0.0000 0.0000 0.0000
2 Ni 0.5000 0.5000 0.2281
3 Os 0.5000 0.5000 0.7408
4 Ru 0.0000 0.0000 0.4927

Results
- Energy relative to the elements: 0.074 eV per atom
- Symmetry: Pmm2 (25)
- Volume: 50.6 Å³/cell
- Distance to the lowest polymorph of the same formula: 0.000 eV per atom
- Density of states at the Fermi level: 3.68 states/eV per cell



> The highest distance to the lowest polymorph of the same formula belongs to which entry?

number 2



Please write out number 3 again, unchanged.
Computed, not measured: crystalline NiOs2Ru at its relaxed geometry at the PBE level of DFT.

Lattice parameters (Å, degrees): 2.7027 2.7027 25.8370 90.00 90.00 120.00
Sites, in units of the cell vectors:
1 Ni 0.0000 0.0000 0.0000
2 Ni 0.3333 0.6667 0.6667
3 Ni 0.6667 0.3333 0.3333
4 Os 0.0000 0.0000 0.2509
5 Os 0.0000 0.0000 0.7491
6 Os 0.3333 0.6667 0.4158
7 Os 0.3333 0.6667 0.9175
8 Os 0.6667 0.3333 0.0825
9 Os 0.6667 0.3333 0.5842
10 Ru 0.0000 0.0000 0.5000
11 Ru 0.3333 0.6667 0.1667
12 Ru 0.6667 0.3333 0.8333

Results
- Energy relative to the elements: 0.167 eV per atom
- Symmetry: R-3m (166)
- Volume: 163.4 Å³/cell
- Distance to the lowest polymorph of the same formula: 0.030 eV per atom
- Density of states at the Fermi level: 12.74 states/eV per cell



> Look up the density of states at the Fermi level of the first one.

13.02 states/eV per cell